Density functional theory data (PBE) for an optimized crystal structure of ScHgPd3.

Cell: 7.120 6.874 7.494 Å, 90.00 90.00 90.00°
Positions (direct):
Sc1 0.000 0.500 0.000
Sc2 0.500 0.000 0.500
Sc3 0.500 0.000 0.000
Sc4 0.000 0.500 0.500
Hg1 0.327 0.594 0.750
Hg2 0.173 0.094 0.250
Hg3 0.673 0.406 0.250
Hg4 0.827 0.906 0.750
Pd1 0.855 0.140 0.043
Pd2 0.645 0.640 0.543
Pd3 0.645 0.640 0.957
Pd4 0.145 0.860 0.543
Pd5 0.145 0.860 0.957
Pd6 0.355 0.360 0.457
Pd7 0.355 0.360 0.043
Pd8 0.855 0.140 0.457
Pd9 0.119 0.222 0.750
Pd10 0.381 0.722 0.250
Pd11 0.881 0.778 0.250
Pd12 0.619 0.278 0.750

Calculated total energy, eV per cell: -97.19
Space-group type: Pnma